No. 1
VASP calculation (PBE) on a relaxed structure of KCoGeTe3.

Lattice parameters (Å, degrees): 8.8222 3.9754 10.8031 90.00 110.63 90.00
Space group P2_1/m (No. 11)
Symmetry-distinct sites (fractional):
1 K 0.2171 0.2500 0.2637 (multiplicity 2)
2 Co 0.3683 0.7500 0.8474 (multiplicity 2)
3 Ge 0.1150 0.2500 0.5456 (multiplicity 2)
4 Te 0.1573 0.2500 0.8037 (multiplicity 2)
5 Te 0.3505 0.7500 0.5962 (multiplicity 2)
6 Te 0.4294 0.7500 0.0945 (multiplicity 2)

Summary:
- Uncorrected energy: -4.021 eV/atom
- Crystal system: monoclinic

=====

No. 2
VASP calculation (PBE) on a relaxed structure of La2Co3Ge5.

Lattice parameters (Å, degrees): 9.8871 11.9967 5.9428 90.00 90.00 90.00
Space group Ibam (No. 72)
Symmetry-distinct sites (fractional):
1 La 0.2382 0.1329 0.0000 (multiplicity 8)
2 Co 0.0000 0.5000 0.2500 (multiplicity 4)
3 Co 0.1101 0.1357 0.5000 (multiplicity 8)
4 Ge 0.0000 0.0000 0.2500 (multiplicity 4)
5 Ge 0.0000 0.2633 0.2500 (multiplicity 8)
6 Ge 0.1536 0.4006 0.0000 (multiplicity 8)

Summary:
- Uncorrected energy: -6.024 eV/atom
- Crystal system: orthorhombic

=====

No. 3
VASP calculation (PBE) on a relaxed structure of LaCo2Ge2.

Lattice parameters (Å, degrees): 4.0932 4.0932 10.2503 90.00 90.00 90.00
Space group I4/mmm (No. 139)
Symmetry-distinct sites (fractional):
1 La 0.0000 0.0000 0.0000 (multiplicity 2)
2 Co 0.0000 0.5000 0.2500 (multiplicity 4)
3 Ge 0.0000 0.0000 0.3639 (multiplicity 4)

Summary:
- Uncorrected energy: -6.265 eV/atom
- Crystal system: tetragonal

=====

No. 4
VASP calculation (PBE) on a relaxed structure of LaMgCoGe.

Lattice parameters (Å, degrees): 6.6636 6.6636 6.6636 90.00 90.00 90.00
Space group F-43m (No. 216)
Symmetry-distinct sites (fractional):
1 La 0.0000 0.0000 0.0000 (multiplicity 4)
2 Mg 0.2500 0.2500 0.7500 (multiplicity 4)
3 Co 0.2500 0.2500 0.2500 (multiplicity 4)
4 Ge 0.0000 0.0000 0.5000 (multiplicity 4)

Summary:
- Uncorrected energy: -4.655 eV/atom
- Crystal system: cubic

=====

No. 5
VASP calculation (PBE) on a relaxed structure of LaMgCoGe2.

Lattice parameters (Å, degrees): 4.1853 4.1853 10.9933 90.00 90.00 90.00
Space group I-4m2 (No. 119)
Symmetry-distinct sites (fractional):
1 La 0.0000 0.0000 0.0000 (multiplicity 2)
2 Mg 0.0000 0.5000 0.7500 (multiplicity 2)
3 Co 0.0000 0.5000 0.2500 (multiplicity 2)
4 Ge 0.0000 0.0000 0.3816 (multiplicity 4)

Summary:
- Uncorrected energy: -5.049 eV/atom
- Crystal system: tetragonal

=====

No. 6
VASP calculation (PBE) on a relaxed structure of LaMgCoGe.

Lattice parameters (Å, degrees): 6.7769 6.7769 6.7769 90.00 90.00 90.00
Space group F-43m (No. 216)
Symmetry-distinct sites (fractional):
1 La 0.0000 0.0000 0.0000 (multiplicity 4)
2 Mg 0.2500 0.2500 0.7500 (multiplicity 4)
3 Co 0.0000 0.0000 0.5000 (multiplicity 4)
4 Ge 0.2500 0.2500 0.2500 (multiplicity 4)

Summary:
- Uncorrected energy: -4.569 eV/atom
- Crystal system: cubic

=====

No. 7
VASP calculation (PBE) on a relaxed structure of LaMgCoGe.

Lattice parameters (Å, degrees): 6.9016 6.9016 6.9016 90.00 90.00 90.00
Space group F-43m (No. 216)
Symmetry-distinct sites (fractional):
1 La 0.0000 0.0000 0.0000 (multiplicity 4)
2 Mg 0.0000 0.0000 0.5000 (multiplicity 4)
3 Co 0.2500 0.2500 0.7500 (multiplicity 4)
4 Ge 0.2500 0.2500 0.2500 (multiplicity 4)

Summary:
- Uncorrected energy: -4.675 eV/atom
- Crystal system: cubic

=====

No. 8
VASP calculation (PBE) on a relaxed structure of LaNdCo2Ge4.

Lattice parameters (Å, degrees): 4.2346 4.2737 16.8468 90.00 90.00 90.00
Space group Amm2 (No. 38)
Symmetry-distinct sites (fractional):
1 La 0.0000 0.0000 0.0000 (multiplicity 2)
2 Nd 0.5000 0.0000 0.2181 (multiplicity 2)
3 Co 0.0000 0.0000 0.7906 (multiplicity 2)
4 Co 0.5000 0.0000 0.4269 (multiplicity 2)
5 Ge 0.0000 0.0000 0.3583 (multiplicity 2)
6 Ge 0.0000 0.0000 0.6548 (multiplicity 2)
7 Ge 0.5000 0.0000 0.5645 (multiplicity 2)
8 Ge 0.5000 0.0000 0.8577 (multiplicity 2)

Summary:
- Uncorrected energy: -5.973 eV/atom
- Crystal system: orthorhombic

=====

No. 9
VASP calculation (PBE) on a relaxed structure of LaNdCo2Ge4.

Lattice parameters (Å, degrees): 4.2617 4.2406 8.6502 90.00 104.13 90.00
Space group Pm (No. 6)
Symmetry-distinct sites (fractional):
1 La 0.0000 0.0000 0.0000 (multiplicity 1)
2 Nd 0.7658 0.5000 0.5613 (multiplicity 1)
3 Co 0.2077 0.0000 0.4177 (multiplicity 1)
4 Co 0.5593 0.5000 0.1453 (multiplicity 1)
5 Ge 0.1284 0.5000 0.2842 (multiplicity 1)
6 Ge 0.3262 0.0000 0.6901 (multiplicity 1)
7 Ge 0.4391 0.5000 0.8693 (multiplicity 1)
8 Ge 0.6405 0.0000 0.2818 (multiplicity 1)

Summary:
- Uncorrected energy: -5.972 eV/atom
- Crystal system: monoclinic

=====

No. 10
VASP calculation (PBE) on a relaxed structure of La2CoNiGe4.

Lattice parameters (Å, degrees): 4.2770 4.3359 16.8843 90.00 90.00 90.00
Space group Amm2 (No. 38)
Symmetry-distinct sites (fractional):
1 La 0.0000 0.0000 0.0000 (multiplicity 2)
2 La 0.5000 0.0000 0.2178 (multiplicity 2)
3 Co 0.5000 0.0000 0.4253 (multiplicity 2)
4 Ni 0.0000 0.0000 0.7914 (multiplicity 2)
5 Ge 0.0000 0.0000 0.3601 (multiplicity 2)
6 Ge 0.0000 0.0000 0.6525 (multiplicity 2)
7 Ge 0.5000 0.0000 0.5631 (multiplicity 2)
8 Ge 0.5000 0.0000 0.8597 (multiplicity 2)

Summary:
- Uncorrected energy: -5.861 eV/atom
- Crystal system: orthorhombic

=====

No. 11
VASP calculation (PBE) on a relaxed structure of LaCo2GeP.

Lattice parameters (Å, degrees): 4.0334 4.0334 10.0589 90.00 90.00 90.00
Space group I4mm (No. 107)
Symmetry-distinct sites (fractional):
1 La 0.0000 0.0000 0.0000 (multiplicity 2)
2 Co 0.0000 0.5000 0.2609 (multiplicity 4)
3 Ge 0.0000 0.0000 0.6372 (multiplicity 2)
4 P 0.0000 0.0000 0.3611 (multiplicity 2)

Summary:
- Uncorrected energy: -6.634 eV/atom
- Crystal system: tetragonal

=====

No. 12
VASP calculation (PBE) on a relaxed structure of LaCoGe2Pd.

Lattice parameters (Å, degrees): 4.2350 4.2350 10.3706 90.00 90.00 90.00
Space group I-4m2 (No. 119)
Symmetry-distinct sites (fractional):
1 La 0.0000 0.0000 0.0000 (multiplicity 2)
2 Co 0.0000 0.5000 0.7500 (multiplicity 2)
3 Ge 0.0000 0.0000 0.3728 (multiplicity 4)
4 Pd 0.0000 0.5000 0.2500 (multiplicity 2)

Summary:
- Uncorrected energy: -5.974 eV/atom
- Crystal system: tetragonal